CrCuSn2 after structural relaxation. Source: the Alexandria database, functional PBEsol.

Crystal system: cubic
ΔH_f (0 K) (kJ/mol of formula units): 139
Symmetry: Fm-3m, No. 225
Total DFT energy (no corrections) (eV/atom): -5.41

Geometry as POSCAR:
```
CrCuSn2
1.0
-0.458 -0.962 -4.570
3.590 -1.868 -2.376
-0.212 -4.458 -1.450
Cr Sn Cu
1 2 1
direct
0.000 0.000 0.000
0.250 0.250 0.250
0.750 0.750 0.750
0.500 0.500 0.500
```

Sr2CrCu after structural relaxation. Source: the Alexandria database, functional PBEsol.

Crystal system: orthorhombic
ΔH_f (0 K) (kJ/mol of formula units): 197
ΔE to the lowest computed polymorph (meV per atom): 0
Symmetry: Imm2, No. 44
Total DFT energy (no corrections) (eV/atom): -4.05

Geometry as POSCAR:
```
Sr2CrCu
1.0
-1.561 0.273 -3.466
0.313 -5.169 -0.548
-4.443 1.909 4.246
Cr Cu Sr
1 1 2
direct
0.563 0.563 0.125
0.209 0.708 0.417
0.968 0.968 0.936
0.761 0.261 0.522
```

SrCrCu2 after structural relaxation. Source: the Alexandria database, functional PBEsol.

Crystal system: orthorhombic
ΔH_f (0 K) (kJ/mol of formula units): 187
Symmetry: Amm2, No. 38
Total DFT energy (no corrections) (eV/atom): -4.70

Geometry as POSCAR:
```
SrCrCu2
1.0
-2.721 1.175 -2.034
-2.558 -2.107 2.205
0.697 3.802 4.442
Cr Cu Sr
1 2 1
direct
0.254 0.500 0.882
0.796 0.000 0.968
0.914 0.500 0.202
0.536 0.000 0.448
```

SrCrCu2 after structural relaxation. Source: the Alexandria database, functional PBEsol.

Crystal system: monoclinic
ΔH_f (0 K) (kJ/mol of formula units): 121
Symmetry: C2/m, No. 12
Total DFT energy (no corrections) (eV/atom): -4.87

Geometry as POSCAR:
```
SrCrCu2
1.0
4.256 -0.008 -0.030
-2.121 3.690 0.030
-2.102 -1.241 5.222
Cr Cu Sr
1 2 1
direct
0.500 0.500 0.000
0.882 0.191 0.073
0.118 0.809 0.927
0.500 0.000 0.500
```

SrCrCu2 after structural relaxation. Source: the Alexandria database, functional PBEsol.

Crystal system: tetragonal
ΔH_f (0 K) (kJ/mol of formula units): 213
Symmetry: P4mm, No. 99
Total DFT energy (no corrections) (eV/atom): -4.64

Geometry as POSCAR:
```
SrCrCu2
1.0
-1.083 2.661 -1.505
-1.929 -1.833 -1.854
-5.078 0.591 4.700
Cr Cu Sr
1 2 1
direct
0.500 0.500 0.828
0.000 0.000 0.014
0.500 0.500 0.179
0.000 0.000 0.479
```

Sr2CrCu after structural relaxation. Source: the Alexandria database, functional PBEsol.

Crystal system: tetragonal
ΔH_f (0 K) (kJ/mol of formula units): 214
ΔE to the lowest computed polymorph (meV per atom): 43
Symmetry: P4/mmm, No. 123
Total DFT energy (no corrections) (eV/atom): -4.01

Geometry as POSCAR:
```
Sr2CrCu
1.0
3.775 0.000 0.026
0.000 3.775 0.000
-0.053 0.000 7.781
Cr Cu Sr
1 1 2
direct
0.500 0.500 0.000
0.500 0.500 0.500
0.000 0.000 0.731
0.000 0.000 0.269
```